Here is BiSBrCl2 after structural relaxation from Alexandria via LeMat-Bulk. Energies are from GGA-PBEsol.

Structure (CIF):
```
data_BiSBrCl2
_chemical_formula_sum 'Bi1 S1 Br1 Cl2'
_cell_length_a 5.028
_cell_length_b 5.028
_cell_length_c 5.039
_cell_angle_alpha 90.00
_cell_angle_beta 90.00
_cell_angle_gamma 90.00
_space_group_name_H-M_alt 'P 4/m m m'
_space_group_IT_number 123
_space_group_name_Hall '-P 4 2'
loop_
_atom_site_label
_atom_site_fract_x
_atom_site_fract_y
_atom_site_fract_z
Bi1 0.000 0.000 0.000
S1 0.500 0.500 0.000
Br1 0.500 0.500 0.500
Cl1 0.000 0.500 0.500
```

Density = 5.11 Mg/m³
Size of the total moment = 0.0 μB/cell
Energy = -2.4553 eV/atom